[1]
BaScCd2: PBEsol geometry, SCAN.

The structure in POSCAR format:
```
BaScCd2
1.0
3.589 0.000 0.000
1.794 3.108 0.000
1.794 1.036 10.050
Cd Ba Sc
2 1 1
Cartesian
5.383 3.108 7.185
1.794 1.036 2.865
0.000 0.000 0.000
3.589 2.072 5.025
```

Results
**Calculated formation energy**: -0.07 eV/f.u.
**Relative energy among the computed polymorphs**: 31.0 kJ per mole of atoms
**ρ**: 6.03 g/cm³

---

[2]
BaSc2Cd: PBEsol geometry, SCAN.

The structure in POSCAR format:
```
BaSc2Cd
1.0
4.825 0.000 0.000
0.000 4.825 0.000
-2.412 -2.412 4.682
Sc Cd Ba
2 1 1
Cartesian
2.412 0.000 2.341
0.000 0.000 0.000
0.000 2.412 2.341
2.412 2.412 0.000
```

Results
**Calculated formation energy**: 0.81 eV/f.u.
**ρ**: 5.18 g/cm³

---

[3]
BaScCd2: PBEsol geometry, SCAN.

The structure in POSCAR format:
```
BaScCd2
1.0
3.653 0.000 0.000
0.000 3.653 0.000
0.000 0.000 8.090
Cd Ba Sc
2 1 1
Cartesian
0.000 0.000 6.527
0.000 0.000 1.563
1.826 1.826 4.045
1.826 1.826 0.000
```

Results
**Calculated formation energy**: -1.35 eV/f.u.
**Relative energy among the computed polymorphs**: 0.0 kJ per mole of atoms
**ρ**: 6.26 g/cm³

---

Copy entry 3 word for word.
BaScCd2: PBEsol geometry, SCAN.

The structure in POSCAR format:
```
BaScCd2
1.0
3.653 0.000 0.000
0.000 3.653 0.000
0.000 0.000 8.090
Cd Ba Sc
2 1 1
Cartesian
0.000 0.000 6.527
0.000 0.000 1.563
1.826 1.826 4.045
1.826 1.826 0.000
```

Results
**Calculated formation energy**: -1.35 eV/f.u.
**Relative energy among the computed polymorphs**: 0.0 kJ per mole of atoms
**ρ**: 6.26 g/cm³

---

> Which formula does entry 2 have?

BaSc2Cd

---

> ρ of number 3 (BaScCd2)?

6.26 g/cm³